Pm2SbAu8: relaxed, PBE.

Properties
D(E_F) = 4.4 states/eV/cell
total magnetic moment = 0.00 μB/cell
raw formation energy = -4.8 eV per formula unit
V = 244.13 Å³/f.u.

Geometry as CIF:
```
data_Pm2SbAu8
_space_group_name_H-M_alt 'P 1'
_space_group_IT_number 1
_cell_length_a 5.2311
_cell_length_b 6.2112
_cell_length_c 8.5737
_cell_angle_alpha 111.83
_cell_angle_beta 108.45
_cell_angle_gamma 88.21
loop_
_space_group_symop_operation_xyz
'x,y,z'
loop_
_atom_site_label
_atom_site_type_symbol
_atom_site_fract_x
_atom_site_fract_y
_atom_site_fract_z
_atom_site_occupancy
Pm1 Pm 0.6838 0.6838 0.3677 1
Pm2 Pm 0.3162 0.3162 0.6323 1
Sb1 Sb 0.5000 0.0000 0.0000 1
Au1 Au 0.1736 0.3580 0.2649 1
Au2 Au 0.9087 0.0931 0.7351 1
Au3 Au 0.7492 0.4340 0.0000 1
Au4 Au 0.6998 0.1998 0.3997 1
Au5 Au 0.3002 0.8002 0.6003 1
Au6 Au 0.2507 0.5660 0.0000 1
Au7 Au 0.0913 0.9069 0.2649 1
Au8 Au 0.8264 0.6420 0.7351 1
```